A geometry-optimized PmPrAgOs structure, computed with PBE.

Values from the calculation:
Energy = -0.4412 Ry/atom
Formation enthalpy at 0 K = -0.10 eV per atom
DOS at the Fermi energy = 0.530 states/eV per atom

Structure (CIF):
```
data_PmPrAgOs
_chemical_formula_sum 'Pm4 Pr4 Ag4 Os4'
_symmetry_space_group_name_H-M 'F -4 3 m'
_symmetry_Int_Tables_number 216
_symmetry_space_group_name_Hall 'F -4 2 3'
_cell_length_a 7.229
_cell_length_b 7.229
_cell_length_c 7.229
_cell_angle_alpha 90.00
_cell_angle_beta 90.00
_cell_angle_gamma 90.00
loop_
_atom_site_label
_atom_site_type_symbol
_atom_site_fract_x
_atom_site_fract_y
_atom_site_fract_z
Pm1 Pm 0.000 0.000 0.000
Pr1 Pr 0.000 0.000 0.500
Ag1 Ag 0.250 0.250 0.250
Os1 Os 0.250 0.250 0.750
```

---

A geometry-optimized NaTbSc2Se4 structure, computed with PBE.

Values from the calculation:
Energy = -0.4198 Ry/atom
DOS at the Fermi energy = 0.406 states/eV per atom

Structure (CIF):
```
data_NaTbSc2Se4
_chemical_formula_sum 'Na1 Tb1 Sc2 Se4'
_symmetry_space_group_name_H-M 'P 1 2/m 1'
_symmetry_Int_Tables_number 10
_cell_length_a 6.897
_cell_length_b 3.952
_cell_length_c 6.989
_cell_angle_alpha 90.00
_cell_angle_beta 108.76
_cell_angle_gamma 90.00
loop_
_symmetry_equiv_pos_as_xyz
'x,y,z'
'-x,-y,-z'
'-x,y,-z'
'x,-y,z'
loop_
_atom_site_label
_atom_site_type_symbol
_atom_site_fract_x
_atom_site_fract_y
_atom_site_fract_z
Na1 Na 0.000 0.000 0.000
Tb1 Tb 0.500 0.500 0.000
Sc1 Sc 0.000 0.500 0.500
Sc2 Sc 0.500 0.000 0.500
Se1 Se 0.244 0.000 0.735
Se2 Se 0.258 0.500 0.268
```

---

A geometry-optimized NiBH2Ru structure, computed with PBE.

Values from the calculation:
Energy = -0.3504 Ry/atom
DOS at the Fermi energy = 0.755 states/eV per atom

Structure (CIF):
```
data_NiBH2Ru
_chemical_formula_sum 'Ni1 B1 H2 Ru1'
_symmetry_space_group_name_H-M 'P 4/m m m'
_symmetry_Int_Tables_number 123
_symmetry_space_group_name_Hall '-P 4 2'
_cell_length_a 3.126
_cell_length_b 3.126
_cell_length_c 5.037
_cell_angle_alpha 90.00
_cell_angle_beta 90.00
_cell_angle_gamma 90.00
loop_
_atom_site_label
_atom_site_type_symbol
_atom_site_fract_x
_atom_site_fract_y
_atom_site_fract_z
Ni1 Ni 0.000 0.000 0.000
B1 B 0.500 0.500 0.000
H1 H 0.000 0.500 0.500
Ru1 Ru 0.000 0.000 0.500
```

---

A geometry-optimized La3OsBr structure, computed with PBE.

Values from the calculation:
Distance to the lowest polymorph of the same formula = 0.00 eV/f.u.
Energy = -0.4496 Ry/atom
DOS at the Fermi energy = 0.889 states/eV per atom

Structure (CIF):
```
data_La3OsBr
_chemical_formula_sum 'La6 Os2 Br2'
_symmetry_space_group_name_H-M 'P m m n'
_symmetry_Int_Tables_number 59
_cell_length_a 4.232
_cell_length_b 7.381
_cell_length_c 9.859
_cell_angle_alpha 90.00
_cell_angle_beta 90.00
_cell_angle_gamma 90.00
loop_
_symmetry_equiv_pos_as_xyz
'x,y,z'
'-x,-y,-z'
'-x+1/2,-y+1/2,z'
'x+1/2,y+1/2,-z'
'x+1/2,-y,-z'
'-x+1/2,y,z'
'-x,y+1/2,-z'
'x,-y+1/2,z'
loop_
_atom_site_label
_atom_site_type_symbol
_atom_site_fract_x
_atom_site_fract_y
_atom_site_fract_z
La1 La 0.250 0.000 0.151
La2 La 0.250 0.250 0.587
Os1 Os 0.250 0.250 0.892
Br1 Br 0.250 0.750 0.659
```

---

A geometry-optimized YFe3Si3 structure, computed with PBE.

Values from the calculation:
Energy = -0.5008 Ry/atom
DOS at the Fermi energy = 1.178 states/eV per atom

Structure (CIF):
```
data_YFe3Si3
_chemical_formula_sum 'Y2 Fe6 Si6'
_symmetry_space_group_name_H-M 'P m -3 n'
_symmetry_Int_Tables_number 223
_symmetry_space_group_name_Hall '-P 4n 2 3'
_cell_length_a 6.255
_cell_length_b 6.255
_cell_length_c 6.255
_cell_angle_alpha 90.00
_cell_angle_beta 90.00
_cell_angle_gamma 90.00
loop_
_atom_site_label
_atom_site_type_symbol
_atom_site_fract_x
_atom_site_fract_y
_atom_site_fract_z
Y1 Y 0.000 0.000 0.000
Fe1 Fe 0.000 0.250 0.500
Si1 Si 0.000 0.500 0.250
```

---

A geometry-optimized PaNbIr2 structure, computed with PBE.

Values from the calculation:
Distance to the lowest polymorph of the same formula = 0.24 eV/f.u.
Energy = -0.7213 Ry/atom
Formation enthalpy at 0 K = -0.49 eV per atom
DOS at the Fermi energy = 0.918 states/eV per atom

Structure (CIF):
```
data_PaNbIr2
_chemical_formula_sum 'Pa3 Nb3 Ir6'
_symmetry_space_group_name_H-M 'R -3 m'
_symmetry_Int_Tables_number 166
_symmetry_space_group_name_Hall '-R 3 2"'
_cell_length_a 4.4138
_cell_length_b 4.4138
_cell_length_c 14.0532
_cell_angle_alpha 90.00
_cell_angle_beta 90.00
_cell_angle_gamma 120.00
loop_
_atom_site_label
_atom_site_type_symbol
_atom_site_fract_x
_atom_site_fract_y
_atom_site_fract_z
Pa1 Pa 0.0000 0.0000 0.0000
Nb1 Nb 0.0000 0.0000 0.5000
Ir1 Ir 0.0000 0.0000 0.2216
```

---

A geometry-optimized Ce5Pt2 structure, computed with PBE.

Values from the calculation:
Energy = -0.4801 Ry/atom
Formation enthalpy at 0 K = -0.57 eV per atom
DOS at the Fermi energy = 3.139 states/eV per atom

Structure (CIF):
```
data_Ce5Pt2
_chemical_formula_sum 'Ce20 Pt8'
_symmetry_space_group_name_H-M 'C 1 2/c 1'
_symmetry_Int_Tables_number 15
_cell_length_a 16.883
_cell_length_b 6.272
_cell_length_c 7.191
_cell_angle_alpha 90.00
_cell_angle_beta 98.33
_cell_angle_gamma 90.00
loop_
_symmetry_equiv_pos_as_xyz
'x,y,z'
'-x,-y,-z'
'-x,y,-z+1/2'
'x,-y,z+1/2'
'x+1/2,y+1/2,z'
'-x+1/2,-y+1/2,-z'
'-x+1/2,y+1/2,-z+1/2'
'x+1/2,-y+1/2,z+1/2'
loop_
_atom_site_label
_atom_site_type_symbol
_atom_site_fract_x
_atom_site_fract_y
_atom_site_fract_z
Ce1 Ce 0.000 0.119 0.250
Ce2 Ce 0.093 0.383 0.937
Ce3 Ce 0.223 0.115 0.338
Pt1 Pt 0.107 0.170 0.596
```

---

A geometry-optimized Pr2Sn8Ir structure, computed with PBE.

Values from the calculation:
Energy = -0.3664 Ry/atom
Formation enthalpy at 0 K = -0.40 eV per atom
DOS at the Fermi energy = 0.389 states/eV per atom

Structure (CIF):
```
data_Pr2Sn8Ir
_chemical_formula_sum 'Pr2 Sn8 Ir1'
_symmetry_space_group_name_H-M 'P 4/m m m'
_symmetry_Int_Tables_number 123
_symmetry_space_group_name_Hall '-P 4 2'
_cell_length_a 4.768
_cell_length_b 4.768
_cell_length_c 12.584
_cell_angle_alpha 90.00
_cell_angle_beta 90.00
_cell_angle_gamma 90.00
loop_
_atom_site_label
_atom_site_type_symbol
_atom_site_fract_x
_atom_site_fract_y
_atom_site_fract_z
Pr1 Pr 0.000 0.000 0.186
Sn1 Sn 0.000 0.500 0.000
Sn2 Sn 0.000 0.500 0.379
Sn3 Sn 0.500 0.500 0.195
Ir1 Ir 0.000 0.000 0.500
```

---

Q: Which of these has the highest energy?
A: NiBH2Ru

---

Q: Number 7 is which compound?
A: Ce5Pt2

---

Q: What is the energy in the seventh record?
A: -0.4801 Ry/atom